Record 1
The following is a DFT calculation (GGA-PBE) of a relaxed InRe2Pt crystal.

## Properties
**Space group**: Cmmm
**Magnetization**: 0.00 μB per formula unit
**Calculated density**: 17.3 g cm⁻³
**Final energy**: -7.98 eV/atom

Unit cell a=5.378 b=8.611 c=2.824 alpha=90.00 beta=90.00 gamma=90.00
Fractional coordinates of all 8 atoms:
In1 0.000 0.000 0.000
In2 0.500 0.500 0.000
Re1 0.250 0.250 0.500
Re2 0.250 0.750 0.500
Re3 0.750 0.250 0.500
Re4 0.750 0.750 0.500
Pt1 0.000 0.500 0.000
Pt2 0.500 0.000 0.000

Record 2
The following is a DFT calculation (GGA-PBE) of a relaxed InRe2Pt crystal.

## Properties
**Space group**: Pmmm
**Magnetization**: 0.00 μB per formula unit
**Calculated density**: 17.0 g cm⁻³
**Final energy**: -8.00 eV/atom

Unit cell a=2.855 b=4.156 c=5.612 alpha=90.00 beta=90.00 gamma=90.00
Fractional coordinates of all 4 atoms:
In1 0.000 0.000 0.000
Re1 0.500 0.500 0.280
Re2 0.500 0.500 0.720
Pt1 0.000 0.000 0.500

Record 3
The following is a DFT calculation (GGA-PBE) of a relaxed InRe2Pt crystal.

## Properties
**Space group**: P4mm
**Magnetization**: 0.00 μB per formula unit
**Calculated density**: 17.2 g cm⁻³
**Final energy**: -8.37 eV/atom

Unit cell a=2.884 b=2.884 c=7.938 alpha=90.00 beta=90.00 gamma=90.00
Fractional coordinates of all 4 atoms:
In1 0.000 0.000 0.000
Re1 0.000 0.000 0.518
Re2 0.500 0.500 0.728
Pt1 0.500 0.500 0.268

Record 4
The following is a DFT calculation (GGA-PBE) of a relaxed InRePt crystal.

## Properties
**E above lowest polymorph**: 57 meV/atom
**Space group**: P3m1
**Magnetization**: 0.00 μB per formula unit
**Calculated density**: 16.2 g cm⁻³

Unit cell a=2.917 b=2.917 c=6.883 alpha=90.00 beta=90.00 gamma=120.00
Fractional coordinates of all 3 atoms:
In1 0.000 0.000 0.000
Re1 0.333 0.667 0.652
Pt1 0.667 0.333 0.344

Record 5
The following is a DFT calculation (GGA-PBE) of a relaxed InRePt crystal.

## Properties
**E above lowest polymorph**: 0 meV/atom
**Space group**: I4mm
**Magnetization**: 0.00 μB per formula unit
**Calculated density**: 16.2 g cm⁻³

Unit cell a=2.876 b=2.876 c=12.305 alpha=90.00 beta=90.00 gamma=90.00
Fractional coordinates of all 6 atoms:
In1 0.000 0.000 0.000
In2 0.500 0.500 0.500
Re1 0.000 0.000 0.674
Re2 0.500 0.500 0.174
Pt1 0.000 0.000 0.320
Pt2 0.500 0.500 0.820

Record 6
The following is a DFT calculation (GGA-PBE) of a relaxed InRePt3 crystal.

## Properties
**E above lowest polymorph**: 0 meV/atom
**Space group**: Pm-3m
**Magnetization**: 0.00 μB per formula unit
**Calculated density**: 12.7 g cm⁻³

Unit cell a=4.874 b=4.874 c=4.874 alpha=90.00 beta=90.00 gamma=90.00
Fractional coordinates of all 5 atoms:
In1 0.000 0.000 0.000
Re1 0.500 0.500 0.500
Pt1 0.000 0.500 0.500
Pt2 0.500 0.000 0.500
Pt3 0.500 0.500 0.000